# 1
DFT (PBE) results for crystalline RbEr2MnSe4 at its relaxed geometry.

Cell and atoms, written as CIF:
```
data_RbEr2MnSe4
_cell_length_a 4.132
_cell_length_b 14.353
_cell_length_c 14.413
_cell_angle_alpha 90.00
_cell_angle_beta 90.00
_cell_angle_gamma 90.00
_space_group_name_H-M_alt 'C m c m'
_space_group_IT_number 63
_space_group_name_Hall '-C 2c 2'
loop_
_atom_site_label
_atom_site_fract_x
_atom_site_fract_y
_atom_site_fract_z
Rb1 0.000 0.109 0.250
Er1 0.000 0.368 0.061
Mn1 0.000 0.168 0.750
Se1 0.000 0.000 0.000
Se2 0.000 0.262 0.607
Se3 0.000 0.430 0.250
```

Computed properties:
Raw formation energy: -1417 meV per atom



# 2
DFT (PBE) results for crystalline Rb4Er3MnSe8 at its relaxed geometry.

Cell and atoms, written as CIF:
```
data_Rb4Er3MnSe8
_cell_length_a 8.2960
_cell_length_b 8.2960
_cell_length_c 23.9114
_cell_angle_alpha 90.00
_cell_angle_beta 90.00
_cell_angle_gamma 120.00
_space_group_name_H-M_alt 'R -3 m'
_space_group_IT_number 166
_space_group_name_Hall '-R 3 2"'
loop_
_atom_site_label
_atom_site_fract_x
_atom_site_fract_y
_atom_site_fract_z
Rb1 0.0000 0.0000 0.0000
Rb2 0.0000 0.5000 0.0000
Er1 0.0000 0.5000 0.5000
Mn1 0.0000 0.0000 0.5000
Se1 0.0000 0.0000 0.2321
Se2 0.0151 0.5075 0.2290
```

Computed properties:
Raw formation energy: -1440 meV per atom



# 3
DFT (PBE) results for crystalline Rb2Er2MnSe6 at its relaxed geometry.

Cell and atoms, written as CIF:
```
data_Rb2Er2MnSe6
_cell_length_a 6.950
_cell_length_b 11.906
_cell_length_c 8.538
_cell_angle_alpha 90.00
_cell_angle_beta 106.73
_cell_angle_gamma 90.00
_space_group_name_H-M_alt 'C 1 2/m 1'
_space_group_IT_number 12
loop_
_space_group_symop_operation_xyz
'x,y,z'
'-x,-y,-z'
'-x,y,-z'
'x,-y,z'
'x+1/2,y+1/2,z'
'-x+1/2,-y+1/2,-z'
'-x+1/2,y+1/2,-z'
'x+1/2,-y+1/2,z'
loop_
_atom_site_label
_atom_site_fract_x
_atom_site_fract_y
_atom_site_fract_z
Rb1 0.000 0.173 0.000
Er1 0.000 0.332 0.500
Mn1 0.000 0.000 0.500
Se1 0.219 0.151 0.685
Se2 0.237 0.000 0.319
```

Computed properties:
Raw formation energy: -1318 meV per atom



# 4
DFT (PBE) results for crystalline RbErMn2Se4 at its relaxed geometry.

Cell and atoms, written as CIF:
```
data_RbErMn2Se4
_cell_length_a 6.840
_cell_length_b 8.268
_cell_length_c 8.968
_cell_angle_alpha 90.00
_cell_angle_beta 90.00
_cell_angle_gamma 90.00
_space_group_name_H-M_alt 'I 2 2 2'
_space_group_IT_number 23
loop_
_space_group_symop_operation_xyz
'x,y,z'
'-x,-y,z'
'x,-y,-z'
'-x,y,-z'
'x+1/2,y+1/2,z+1/2'
'-x+1/2,-y+1/2,z+1/2'
'x+1/2,-y+1/2,-z+1/2'
'-x+1/2,y+1/2,-z+1/2'
loop_
_atom_site_label
_atom_site_fract_x
_atom_site_fract_y
_atom_site_fract_z
Rb1 0.000 0.000 0.000
Er1 0.000 0.000 0.500
Mn1 0.000 0.500 0.108
Se1 0.248 0.172 0.320
```

Computed properties:
Raw formation energy: -615 meV per atom



# 5
DFT (PBE) results for crystalline Rb3Er3MnSe8 at its relaxed geometry.

Cell and atoms, written as CIF:
```
data_Rb3Er3MnSe8
_cell_length_a 8.1446
_cell_length_b 8.1446
_cell_length_c 24.4819
_cell_angle_alpha 90.00
_cell_angle_beta 90.00
_cell_angle_gamma 120.00
_space_group_name_H-M_alt 'R -3 m'
_space_group_IT_number 166
_space_group_name_Hall '-R 3 2"'
loop_
_atom_site_label
_atom_site_fract_x
_atom_site_fract_y
_atom_site_fract_z
Rb1 0.0000 0.5000 0.0000
Er1 0.0000 0.5000 0.5000
Mn1 0.0000 0.0000 0.5000
Se1 0.0000 0.0000 0.2317
Se2 0.0293 0.5147 0.2266
```

Computed properties:
Raw formation energy: -1419 meV per atom



# 6
DFT (PBE) results for crystalline RbErMnSe3 at its relaxed geometry.

Cell and atoms, written as CIF:
```
data_RbErMnSe3
_cell_length_a 9.315
_cell_length_b 4.218
_cell_length_c 10.072
_cell_angle_alpha 90.00
_cell_angle_beta 109.68
_cell_angle_gamma 90.00
_space_group_name_H-M_alt 'P 1 21/m 1'
_space_group_IT_number 11
loop_
_space_group_symop_operation_xyz
'x,y,z'
'-x,-y,-z'
'-x,y+1/2,-z'
'x,-y+1/2,z'
loop_
_atom_site_label
_atom_site_fract_x
_atom_site_fract_y
_atom_site_fract_z
Rb1 0.213 0.250 0.239
Er1 0.333 0.750 0.862
Mn1 0.086 0.250 0.611
Se1 0.120 0.250 0.864
Se2 0.204 0.750 0.544
Se3 0.469 0.750 0.157
```

Computed properties:
Raw formation energy: -1295 meV per atom



# 7
DFT (PBE) results for crystalline Rb2ErMnTe4 at its relaxed geometry.

Cell and atoms, written as CIF:
```
data_Rb2ErMnTe4
_cell_length_a 9.151
_cell_length_b 9.197
_cell_length_c 13.479
_cell_angle_alpha 90.00
_cell_angle_beta 90.00
_cell_angle_gamma 90.00
_space_group_name_H-M_alt 'I m m a'
_space_group_IT_number 74
_space_group_name_Hall '-I 2b 2'
loop_
_atom_site_label
_atom_site_fract_x
_atom_site_fract_y
_atom_site_fract_z
Rb1 0.000 0.000 0.000
Rb2 0.250 0.250 0.250
Er1 0.000 0.000 0.500
Mn1 0.250 0.250 0.750
Te1 0.000 0.061 0.735
Te2 0.219 0.250 0.513
```

Computed properties:
Raw formation energy: -820 meV per atom



# 8
DFT (PBE) results for crystalline Rb4Er3MnTe8 at its relaxed geometry.

Cell and atoms, written as CIF:
```
data_Rb4Er3MnTe8
_cell_length_a 8.8780
_cell_length_b 8.8780
_cell_length_c 25.6007
_cell_angle_alpha 90.00
_cell_angle_beta 90.00
_cell_angle_gamma 120.00
_space_group_name_H-M_alt 'R -3 m'
_space_group_IT_number 166
_space_group_name_Hall '-R 3 2"'
loop_
_atom_site_label
_atom_site_fract_x
_atom_site_fract_y
_atom_site_fract_z
Rb1 0.0000 0.0000 0.0000
Rb2 0.0000 0.5000 0.0000
Er1 0.0000 0.5000 0.5000
Mn1 0.0000 0.0000 0.5000
Te1 0.0000 0.0000 0.2334
Te2 0.0150 0.5075 0.2299
```

Computed properties:
Raw formation energy: -1116 meV per atom



# 9
DFT (PBE) results for crystalline ErMn4Re at its relaxed geometry.

Cell and atoms, written as CIF:
```
data_ErMn4Re
_cell_length_a 6.914
_cell_length_b 6.914
_cell_length_c 6.914
_cell_angle_alpha 90.00
_cell_angle_beta 90.00
_cell_angle_gamma 90.00
_space_group_name_H-M_alt 'F -4 3 m'
_space_group_IT_number 216
_space_group_name_Hall 'F -4 2 3'
loop_
_atom_site_label
_atom_site_fract_x
_atom_site_fract_y
_atom_site_fract_z
Er1 0.000 0.000 0.000
Mn1 0.125 0.125 0.625
Re1 0.250 0.250 0.250
```

Computed properties:
DFT formation energy: 127 meV per atom



# 10
DFT (PBE) results for crystalline ErMn2Re at its relaxed geometry.

Cell and atoms, written as CIF:
```
data_ErMn2Re
_cell_length_a 2.9421
_cell_length_b 2.9421
_cell_length_c 27.0267
_cell_angle_alpha 90.00
_cell_angle_beta 90.00
_cell_angle_gamma 120.00
_space_group_name_H-M_alt 'R -3 m'
_space_group_IT_number 166
_space_group_name_Hall '-R 3 2"'
loop_
_atom_site_label
_atom_site_fract_x
_atom_site_fract_y
_atom_site_fract_z
Er1 0.0000 0.0000 0.0000
Mn1 0.0000 0.0000 0.2398
Re1 0.0000 0.0000 0.5000
```

Computed properties:
DFT formation energy: 528 meV per atom
Polymorph energy (0 for the lowest one): 0.0 meV per atom



# 11
DFT (PBE) results for crystalline Er2Mn9Re at its relaxed geometry.

Cell and atoms, written as CIF:
```
data_Er2Mn9Re
_cell_length_a 4.7779
_cell_length_b 4.7779
_cell_length_c 24.7420
_cell_angle_alpha 90.00
_cell_angle_beta 90.00
_cell_angle_gamma 120.00
_space_group_name_H-M_alt 'R -3 m'
_space_group_IT_number 166
_space_group_name_Hall '-R 3 2"'
loop_
_atom_site_label
_atom_site_fract_x
_atom_site_fract_y
_atom_site_fract_z
Er1 0.0000 0.0000 0.1410
Mn1 0.0000 0.0000 0.3351
Mn2 0.0000 0.0000 0.5000
Mn3 0.0055 0.5028 0.9224
Re1 0.0000 0.0000 0.0000
```

Computed properties:
DFT formation energy: 214 meV per atom



# 12
DFT (PBE) results for crystalline ErMn2Re at its relaxed geometry.

Cell and atoms, written as CIF:
```
data_ErMn2Re
_cell_length_a 9.157
_cell_length_b 9.157
_cell_length_c 5.635
_cell_angle_alpha 90.00
_cell_angle_beta 90.00
_cell_angle_gamma 90.00
_space_group_name_H-M_alt 'I 41/a m d'
_space_group_IT_number 141
loop_
_space_group_symop_operation_xyz
'x,y,z'
'-x,-y,-z'
'-y+1/4,x+3/4,z+1/4'
'y+1/4,-x+3/4,-z+1/4'
'-x+1/2,-y,z+1/2'
'x+1/2,y,-z+1/2'
'y+1/4,-x+1/4,z+3/4'
'-y+1/4,x+1/4,-z+3/4'
'x,-y,-z'
'-x,y,z'
'-y+1/4,-x+1/4,-z+3/4'
'y+1/4,x+1/4,z+3/4'
'-x+1/2,y,-z+1/2'
'x+1/2,-y,z+1/2'
'y+1/4,x+3/4,-z+1/4'
'-y+1/4,-x+3/4,z+1/4'
'x+1/2,y+1/2,z+1/2'
'-x+1/2,-y+1/2,-z+1/2'
'-y+3/4,x+1/4,z+3/4'
'y+3/4,-x+1/4,-z+3/4'
'-x,-y+1/2,z'
'x,y+1/2,-z'
'y+3/4,-x+3/4,z+1/4'
'-y+3/4,x+3/4,-z+1/4'
'x+1/2,-y+1/2,-z+1/2'
'-x+1/2,y+1/2,z+1/2'
'-y+3/4,-x+3/4,-z+1/4'
'y+3/4,x+3/4,z+1/4'
'-x,y+1/2,-z'
'x,-y+1/2,z'
'y+3/4,x+1/4,-z+3/4'
'-y+3/4,-x+1/4,z+3/4'
loop_
_atom_site_label
_atom_site_fract_x
_atom_site_fract_y
_atom_site_fract_z
Er1 0.000 0.250 0.375
Mn1 0.000 0.000 0.000
Re1 0.000 0.250 0.875
```

Computed properties:
DFT formation energy: 1310 meV per atom
Polymorph energy (0 for the lowest one): 782.2 meV per atom



# 13
DFT (PBE) results for crystalline ErMn3Re3 at its relaxed geometry.

Cell and atoms, written as CIF:
```
data_ErMn3Re3
_cell_length_a 6.471
_cell_length_b 6.471
_cell_length_c 6.471
_cell_angle_alpha 90.00
_cell_angle_beta 90.00
_cell_angle_gamma 90.00
_space_group_name_H-M_alt 'P m -3 n'
_space_group_IT_number 223
_space_group_name_Hall '-P 4n 2 3'
loop_
_atom_site_label
_atom_site_fract_x
_atom_site_fract_y
_atom_site_fract_z
Er1 0.000 0.000 0.000
Mn1 0.000 0.250 0.500
Re1 0.000 0.500 0.250
```

Computed properties:
DFT formation energy: 892 meV per atom



# 14
DFT (PBE) results for crystalline ErMnSi3Rh at its relaxed geometry.

Cell and atoms, written as CIF:
```
data_ErMnSi3Rh
_cell_length_a 7.426
_cell_length_b 10.772
_cell_length_c 5.374
_cell_angle_alpha 90.00
_cell_angle_beta 90.00
_cell_angle_gamma 90.00
_space_group_name_H-M_alt 'C m c m'
_space_group_IT_number 63
_space_group_name_Hall '-C 2c 2'
loop_
_atom_site_label
_atom_site_fract_x
_atom_site_fract_y
_atom_site_fract_z
Er1 0.000 0.237 0.250
Mn1 0.000 0.046 0.750
Si1 0.000 0.242 0.750
Si2 0.241 0.000 0.000
Rh1 0.000 0.446 0.750
```

Computed properties:
Raw formation energy: -380 meV per atom



# 15
DFT (PBE) results for crystalline TbErMnRh at its relaxed geometry.

Cell and atoms, written as CIF:
```
data_TbErMnRh
_cell_length_a 6.929
_cell_length_b 6.929
_cell_length_c 6.929
_cell_angle_alpha 90.00
_cell_angle_beta 90.00
_cell_angle_gamma 90.00
_space_group_name_H-M_alt 'F -4 3 m'
_space_group_IT_number 216
_space_group_name_Hall 'F -4 2 3'
loop_
_atom_site_label
_atom_site_fract_x
_atom_site_fract_y
_atom_site_fract_z
Tb1 0.000 0.000 0.000
Er1 0.000 0.000 0.500
Mn1 0.250 0.250 0.250
Rh1 0.250 0.250 0.750
```

Computed properties:
DFT formation energy: -281 meV per atom



# 16
DFT (PBE) results for crystalline YErMnRh at its relaxed geometry.

Cell and atoms, written as CIF:
```
data_YErMnRh
_cell_length_a 6.936
_cell_length_b 6.936
_cell_length_c 6.936
_cell_angle_alpha 90.00
_cell_angle_beta 90.00
_cell_angle_gamma 90.00
_space_group_name_H-M_alt 'F -4 3 m'
_space_group_IT_number 216
_space_group_name_Hall 'F -4 2 3'
loop_
_atom_site_label
_atom_site_fract_x
_atom_site_fract_y
_atom_site_fract_z
Y1 0.000 0.000 0.000
Er1 0.000 0.000 0.500
Mn1 0.250 0.250 0.250
Rh1 0.250 0.250 0.750
```

Computed properties:
DFT formation energy: -282 meV per atom



# 17
DFT (PBE) results for crystalline Er2MnRu at its relaxed geometry.

Cell and atoms, written as CIF:
```
data_Er2MnRu
_cell_length_a 3.2881
_cell_length_b 3.2881
_cell_length_c 29.6230
_cell_angle_alpha 90.00
_cell_angle_beta 90.00
_cell_angle_gamma 120.00
_space_group_name_H-M_alt 'R -3 m'
_space_group_IT_number 166
_space_group_name_Hall '-R 3 2"'
loop_
_atom_site_label
_atom_site_fract_x
_atom_site_fract_y
_atom_site_fract_z
Er1 0.0000 0.0000 0.0987
Mn1 0.0000 0.0000 0.0000
Ru1 0.0000 0.0000 0.5000
```

Computed properties:
DFT formation energy: 389 meV per atom



# 18
DFT (PBE) results for crystalline Er2MnRu at its relaxed geometry.

Cell and atoms, written as CIF:
```
data_Er2MnRu
_cell_length_a 3.407
_cell_length_b 3.407
_cell_length_c 7.029
_cell_angle_alpha 90.00
_cell_angle_beta 90.00
_cell_angle_gamma 90.00
_space_group_name_H-M_alt 'P 4/m m m'
_space_group_IT_number 123
_space_group_name_Hall '-P 4 2'
loop_
_atom_site_label
_atom_site_fract_x
_atom_site_fract_y
_atom_site_fract_z
Er1 0.000 0.000 0.234
Mn1 0.500 0.500 0.500
Ru1 0.500 0.500 0.000
```

Computed properties:
DFT formation energy: -153 meV per atom



# 19
DFT (PBE) results for crystalline Er2MnRu3 at its relaxed geometry.

Cell and atoms, written as CIF:
```
data_Er2MnRu3
_cell_length_a 5.3508
_cell_length_b 5.3508
_cell_length_c 8.4454
_cell_angle_alpha 90.00
_cell_angle_beta 90.00
_cell_angle_gamma 120.00
_space_group_name_H-M_alt 'P 63/m m c'
_space_group_IT_number 194
_space_group_name_Hall '-P 6c 2c'
loop_
_atom_site_label
_atom_site_fract_x
_atom_site_fract_y
_atom_site_fract_z
Er1 0.3333 0.6667 0.0661
Mn1 0.0000 0.0000 0.0000
Ru1 0.1700 0.3401 0.7500
```

Computed properties:
DFT formation energy: -316 meV per atom



# 20
DFT (PBE) results for crystalline Er6MnRu5 at its relaxed geometry.

Cell and atoms, written as CIF:
```
data_Er6MnRu5
_cell_length_a 4.781
_cell_length_b 6.823
_cell_length_c 7.570
_cell_angle_alpha 90.00
_cell_angle_beta 108.46
_cell_angle_gamma 90.00
_space_group_name_H-M_alt 'P 1 2/m 1'
_space_group_IT_number 10
loop_
_space_group_symop_operation_xyz
'x,y,z'
'-x,-y,-z'
'-x,y,-z'
'x,-y,z'
loop_
_atom_site_label
_atom_site_fract_x
_atom_site_fract_y
_atom_site_fract_z
Er1 0.000 0.239 0.000
Er2 0.329 0.246 0.659
Mn1 0.500 0.500 0.000
Ru1 0.159 0.500 0.319
Ru2 0.167 0.000 0.334
Ru3 0.500 0.000 0.000
```

Computed properties:
DFT formation energy: -331 meV per atom



# 21
DFT (PBE) results for crystalline ErMnRu2 at its relaxed geometry.

Cell and atoms, written as CIF:
```
data_ErMnRu2
_cell_length_a 3.159
_cell_length_b 3.159
_cell_length_c 6.531
_cell_angle_alpha 90.00
_cell_angle_beta 90.00
_cell_angle_gamma 90.00
_space_group_name_H-M_alt 'P 4/m m m'
_space_group_IT_number 123
_space_group_name_Hall '-P 4 2'
loop_
_atom_site_label
_atom_site_fract_x
_atom_site_fract_y
_atom_site_fract_z
Er1 0.000 0.000 0.000
Mn1 0.000 0.000 0.500
Ru1 0.500 0.500 0.290
```

Computed properties:
DFT formation energy: -71 meV per atom



# 22
DFT (PBE) results for crystalline ErMnSi3Ru at its relaxed geometry.

Cell and atoms, written as CIF:
```
data_ErMnSi3Ru
_cell_length_a 7.477
_cell_length_b 10.559
_cell_length_c 5.404
_cell_angle_alpha 90.00
_cell_angle_beta 90.00
_cell_angle_gamma 90.00
_space_group_name_H-M_alt 'C m c m'
_space_group_IT_number 63
_space_group_name_Hall '-C 2c 2'
loop_
_atom_site_label
_atom_site_fract_x
_atom_site_fract_y
_atom_site_fract_z
Er1 0.000 0.238 0.250
Mn1 0.000 0.045 0.750
Si1 0.000 0.244 0.750
Si2 0.241 0.000 0.000
Ru1 0.000 0.452 0.750
```

Computed properties:
Raw formation energy: -332 meV per atom